A plane-wave DFT calculation with PBE was carried out for a relaxed structure of Sc2Pb2I.

Cell lengths 4.3790, 4.3790, 8.1849 Å; angles 74.48, 74.48, 90.00 degrees
Closest atoms and distances in Å follow each position.
Positions (direct):
Pb: 0.2500 0.7500 0.5000  4 Sc 3.09, 4 Pb 3.10
Pb: 0.7500 0.2500 0.5000  4 Sc 3.09, 4 Pb 3.10
Sc: 0.6056 0.6056 0.7887  4 Pb 3.09, 1 Sc 3.20
Sc: 0.3944 0.3944 0.2113  4 Pb 3.09, 1 Sc 3.20
I: 0.0000 0.0000 0.0000  8 Sc 3.49

Properties
Space group = No. 139
Energy relative to the lowest polymorph listed for this composition = 0.97 eV/f.u.
Energy relative to the elements, uncorrected = -0.17 eV per atom